(1)
The following is a GGA-PBE calculation of a relaxed structure of BaCr2MoP, from Alexandria.

Summary:
energy of formation from the pure elements = 0.48 eV/atom

Geometry as CIF:
```
data_BaCr2MoP
_symmetry_space_group_name_H-M 'P 4/m m m'
_symmetry_Int_Tables_number 123
_symmetry_space_group_name_Hall '-P 4 2'
_cell_length_a 4.943
_cell_length_b 4.943
_cell_length_c 4.800
_cell_angle_alpha 90.00
_cell_angle_beta 90.00
_cell_angle_gamma 90.00
loop_
_atom_site_label
_atom_site_type_symbol
_atom_site_fract_x
_atom_site_fract_y
_atom_site_fract_z
Ba1 Ba 0.000 0.000 0.000
Cr1 Cr 0.000 0.500 0.500
Mo1 Mo 0.500 0.500 0.500
P1 P 0.500 0.500 0.000
```


(2)
The following is a GGA-PBE calculation of a relaxed structure of BaCr2TeMo, from Alexandria.

Summary:
E_form (uncorrected) = 2.325 eV/atom

Geometry as CIF:
```
data_BaCr2TeMo
_symmetry_space_group_name_H-M 'P 4/m m m'
_symmetry_Int_Tables_number 123
_symmetry_space_group_name_Hall '-P 4 2'
_cell_length_a 5.522
_cell_length_b 5.522
_cell_length_c 5.178
_cell_angle_alpha 90.00
_cell_angle_beta 90.00
_cell_angle_gamma 90.00
loop_
_atom_site_label
_atom_site_type_symbol
_atom_site_fract_x
_atom_site_fract_y
_atom_site_fract_z
Ba1 Ba 0.000 0.000 0.000
Cr1 Cr 0.000 0.500 0.000
Te1 Te 0.500 0.500 0.500
Mo1 Mo 0.000 0.000 0.500
```


(3)
The following is a GGA-PBE calculation of a relaxed structure of BaZnCrMo2, from Alexandria.

Summary:
energy of formation from the pure elements = 2.20 eV/atom

Geometry as CIF:
```
data_BaZnCrMo2
_symmetry_space_group_name_H-M 'P 4/m m m'
_symmetry_Int_Tables_number 123
_symmetry_space_group_name_Hall '-P 4 2'
_cell_length_a 4.779
_cell_length_b 4.779
_cell_length_c 5.543
_cell_angle_alpha 90.00
_cell_angle_beta 90.00
_cell_angle_gamma 90.00
loop_
_atom_site_label
_atom_site_type_symbol
_atom_site_fract_x
_atom_site_fract_y
_atom_site_fract_z
Ba1 Ba 0.000 0.000 0.000
Zn1 Zn 0.000 0.000 0.500
Cr1 Cr 0.500 0.500 0.000
Mo1 Mo 0.000 0.500 0.500
```


(4)
The following is a GGA-PBE calculation of a relaxed structure of BaCr3N, from Alexandria.

Summary:
energy above the most stable polymorph in this dataset = 0.00 eV/f.u.
E_form (uncorrected) = 0.765 eV/atom

Geometry as CIF:
```
data_BaCr3N
_symmetry_space_group_name_H-M 'P m -3 m'
_symmetry_Int_Tables_number 221
_symmetry_space_group_name_Hall '-P 4 2 3'
_cell_length_a 4.236
_cell_length_b 4.236
_cell_length_c 4.236
_cell_angle_alpha 90.00
_cell_angle_beta 90.00
_cell_angle_gamma 90.00
loop_
_atom_site_label
_atom_site_type_symbol
_atom_site_fract_x
_atom_site_fract_y
_atom_site_fract_z
Ba1 Ba 0.000 0.000 0.000
Cr1 Cr 0.000 0.500 0.500
N1 N 0.500 0.500 0.500
```


(5)
The following is a GGA-PBE calculation of a relaxed structure of Ba2CrN3, from Alexandria.

Summary:
E_form (uncorrected) = -0.814 eV/atom

Geometry as CIF:
```
data_Ba2CrN3
_symmetry_space_group_name_H-M 'C m c e'
_symmetry_Int_Tables_number 64
_symmetry_space_group_name_Hall '-C 2ac 2'
_cell_length_a 5.850
_cell_length_b 11.708
_cell_length_c 12.946
_cell_angle_alpha 90.00
_cell_angle_beta 90.00
_cell_angle_gamma 90.00
loop_
_atom_site_label
_atom_site_type_symbol
_atom_site_fract_x
_atom_site_fract_y
_atom_site_fract_z
Ba1 Ba 0.000 0.062 0.140
Ba2 Ba 0.000 0.143 0.582
Cr1 Cr 0.000 0.239 0.332
N1 N 0.000 0.095 0.369
N2 N 0.000 0.168 0.940
N3 N 0.250 0.236 0.750
```


(6)
The following is a GGA-PBE calculation of a relaxed structure of Ba3Cr2N4, from Alexandria.

Summary:
E_form (uncorrected) = -0.517 eV/atom

Geometry as CIF:
```
data_Ba3Cr2N4
_symmetry_space_group_name_H-M 'C 1 2/c 1'
_symmetry_Int_Tables_number 15
_symmetry_space_group_name_Hall '-C 2yc'
_cell_length_a 12.548
_cell_length_b 8.913
_cell_length_c 5.800
_cell_angle_alpha 90.00
_cell_angle_beta 91.93
_cell_angle_gamma 90.00
loop_
_atom_site_label
_atom_site_type_symbol
_atom_site_fract_x
_atom_site_fract_y
_atom_site_fract_z
Ba1 Ba 0.000 0.099 0.250
Ba2 Ba 0.127 0.368 0.559
Cr1 Cr 0.214 0.123 0.940
N1 N 0.145 0.305 0.029
N2 N 0.193 0.032 0.649
```


(7)
The following is a GGA-PBE calculation of a relaxed structure of Ba5CrN5, from Alexandria.

Summary:
E_form (uncorrected) = -0.725 eV/atom

Geometry as CIF:
```
data_Ba5CrN5
_symmetry_space_group_name_H-M 'C 1 2/m 1'
_symmetry_Int_Tables_number 12
_symmetry_space_group_name_Hall '-C 2y'
_cell_length_a 10.678
_cell_length_b 11.880
_cell_length_c 9.520
_cell_angle_alpha 90.00
_cell_angle_beta 110.98
_cell_angle_gamma 90.00
loop_
_atom_site_label
_atom_site_type_symbol
_atom_site_fract_x
_atom_site_fract_y
_atom_site_fract_z
Ba1 Ba 0.076 0.000 0.201
Ba2 Ba 0.111 0.500 0.383
Ba3 Ba 0.164 0.500 0.993
Ba4 Ba 0.172 0.264 0.759
Cr1 Cr 0.000 0.243 0.000
N1 N 0.058 0.328 0.161
N2 N 0.130 0.154 0.992
N3 N 0.152 0.500 0.689
```


(8)
The following is a GGA-PBE calculation of a relaxed structure of Ba3CrN, from Alexandria.

Summary:
energy above the most stable polymorph in this dataset = 0.00 eV/f.u.
E_form (uncorrected) = 0.719 eV/atom

Geometry as CIF:
```
data_Ba3CrN
_symmetry_space_group_name_H-M 'P m -3 m'
_symmetry_Int_Tables_number 221
_symmetry_space_group_name_Hall '-P 4 2 3'
_cell_length_a 5.565
_cell_length_b 5.565
_cell_length_c 5.565
_cell_angle_alpha 90.00
_cell_angle_beta 90.00
_cell_angle_gamma 90.00
loop_
_atom_site_label
_atom_site_type_symbol
_atom_site_fract_x
_atom_site_fract_y
_atom_site_fract_z
Ba1 Ba 0.000 0.000 0.500
Cr1 Cr 0.500 0.500 0.500
N1 N 0.000 0.000 0.000
```


(9)
The following is a GGA-PBE calculation of a relaxed structure of BaCr3N, from Alexandria.

Summary:
energy above the most stable polymorph in this dataset = 11.77 eV/f.u.
E_form (uncorrected) = 3.119 eV/atom

Geometry as CIF:
```
data_BaCr3N
_symmetry_space_group_name_H-M 'P m -3 m'
_symmetry_Int_Tables_number 221
_symmetry_space_group_name_Hall '-P 4 2 3'
_cell_length_a 6.277
_cell_length_b 6.277
_cell_length_c 6.277
_cell_angle_alpha 90.00
_cell_angle_beta 90.00
_cell_angle_gamma 90.00
loop_
_atom_site_label
_atom_site_type_symbol
_atom_site_fract_x
_atom_site_fract_y
_atom_site_fract_z
Ba1 Ba 0.000 0.000 0.000
Cr1 Cr 0.000 0.000 0.500
N1 N 0.500 0.500 0.500
```


(10)
The following is a GGA-PBE calculation of a relaxed structure of Ba3CrN3, from Alexandria.

Summary:
E_form (uncorrected) = -0.759 eV/atom

Geometry as CIF:
```
data_Ba3CrN3
_symmetry_space_group_name_H-M 'P 63/m'
_symmetry_Int_Tables_number 176
_symmetry_space_group_name_Hall '-P 6c'
_cell_length_a 8.4322
_cell_length_b 8.4322
_cell_length_c 5.4968
_cell_angle_alpha 90.00
_cell_angle_beta 90.00
_cell_angle_gamma 120.00
loop_
_atom_site_label
_atom_site_type_symbol
_atom_site_fract_x
_atom_site_fract_y
_atom_site_fract_z
Ba1 Ba 0.0782 0.3627 0.2500
Cr1 Cr 0.3333 0.6667 0.7500
N1 N 0.1359 0.4550 0.7500
```


(11)
The following is a GGA-PBE calculation of a relaxed structure of BaCr4N7, from Alexandria.

Summary:
E_form (uncorrected) = -0.423 eV/atom

Geometry as CIF:
```
data_BaCr4N7
_symmetry_space_group_name_H-M 'P m n 21'
_symmetry_Int_Tables_number 31
_symmetry_space_group_name_Hall 'P 2ac -2'
_cell_length_a 12.827
_cell_length_b 5.286
_cell_length_c 5.287
_cell_angle_alpha 90.00
_cell_angle_beta 90.00
_cell_angle_gamma 90.00
loop_
_atom_site_label
_atom_site_type_symbol
_atom_site_fract_x
_atom_site_fract_y
_atom_site_fract_z
Ba1 Ba 0.000 0.192 0.000
Cr1 Cr 0.127 0.812 0.544
Cr2 Cr 0.244 0.654 0.085
N1 N 0.000 0.758 0.652
N2 N 0.129 0.781 0.209
N3 N 0.154 0.129 0.611
N4 N 0.215 0.634 0.747
```


(12)
The following is a GGA-PBE calculation of a relaxed structure of BaCr2N3, from Alexandria.

Summary:
E_form (uncorrected) = -0.607 eV/atom

Geometry as CIF:
```
data_BaCr2N3
_symmetry_space_group_name_H-M 'C m c m'
_symmetry_Int_Tables_number 63
_symmetry_space_group_name_Hall '-C 2c 2'
_cell_length_a 7.902
_cell_length_b 10.115
_cell_length_c 4.861
_cell_angle_alpha 90.00
_cell_angle_beta 90.00
_cell_angle_gamma 90.00
loop_
_atom_site_label
_atom_site_type_symbol
_atom_site_fract_x
_atom_site_fract_y
_atom_site_fract_z
Ba1 Ba 0.000 0.185 0.250
Cr1 Cr 0.159 0.500 0.000
N1 N 0.000 0.420 0.750
N2 N 0.220 0.092 0.750
```


The records above yield density of states at the Fermi level values of 2.74, 5.49, 8.49, 3.75, 2.74, 5.45, 1.37, 22.15, 3.83, 0.39, 7.39, 1.84 states/eV/f.u., respectively.
The records above yield calculated total energy values of -35.021, -23.519, -23.474, -35.292, -43.328, -62.972, -68.844, -20.121, -23.525, -45.680, -103.774, -49.787 eV per formula unit, respectively.